Record 1
# AcCeZnBi PBE optimized geometry
data_AcCeZnBi
_chemical_formula_sum 'Ac4 Ce4 Zn4 Bi4'
_space_group_name_H-M_alt 'F -4 3 m'
_space_group_IT_number 216
_space_group_name_Hall 'F -4 2 3'
_cell_length_a 7.904
_cell_length_b 7.904
_cell_length_c 7.904
_cell_angle_alpha 90.00
_cell_angle_beta 90.00
_cell_angle_gamma 90.00
loop_
_atom_site_label
_atom_site_type_symbol
_atom_site_fract_x
_atom_site_fract_y
_atom_site_fract_z
_atom_site_occupancy
Ac1 Ac 0.000 0.000 0.000 1
Ce1 Ce 0.000 0.000 0.500 1
Zn1 Zn 0.250 0.250 0.250 1
Bi1 Bi 0.250 0.250 0.750 1
# Volume ... 493.75 Å³ per cell
# DFT total energy ... -4.156 eV per atom
# Calculated formation energy ... -357 meV per atom
# Size of the total moment ... 6.38 μB/cell

Record 2
# AcBi4Cl PBE optimized geometry
data_AcBi4Cl
_chemical_formula_sum 'Ac4 Bi16 Cl4'
_space_group_name_H-M_alt 'F -4 3 m'
_space_group_IT_number 216
_space_group_name_Hall 'F -4 2 3'
_cell_length_a 9.296
_cell_length_b 9.296
_cell_length_c 9.296
_cell_angle_alpha 90.00
_cell_angle_beta 90.00
_cell_angle_gamma 90.00
loop_
_atom_site_label
_atom_site_type_symbol
_atom_site_fract_x
_atom_site_fract_y
_atom_site_fract_z
_atom_site_occupancy
Ac1 Ac 0.000 0.000 0.000 1
Bi1 Bi 0.124 0.124 0.376 1
Cl1 Cl 0.250 0.250 0.750 1
# Volume ... 803.22 Å³ per cell
# DFT total energy ... -3.983 eV per atom
# Size of the total moment ... 0.00 μB/cell

Record 3
# Ac3BiCl PBE optimized geometry
data_Ac3BiCl
_chemical_formula_sum 'Ac3 Bi1 Cl1'
_space_group_name_H-M_alt 'P m -3 m'
_space_group_IT_number 221
_space_group_name_Hall '-P 4 2 3'
_cell_length_a 5.702
_cell_length_b 5.702
_cell_length_c 5.702
_cell_angle_alpha 90.00
_cell_angle_beta 90.00
_cell_angle_gamma 90.00
loop_
_atom_site_label
_atom_site_type_symbol
_atom_site_fract_x
_atom_site_fract_y
_atom_site_fract_z
_atom_site_occupancy
Ac1 Ac 0.000 0.000 0.500 1
Bi1 Bi 0.500 0.500 0.500 1
Cl1 Cl 0.000 0.000 0.000 1
# Volume ... 185.39 Å³ per cell
# DFT total energy ... -4.200 eV per atom
# Size of the total moment ... 0.00 μB/cell

Record 4
# Ac6Bi5Cl PBE optimized geometry
data_Ac6Bi5Cl
_chemical_formula_sum 'Ac12 Bi10 Cl2'
_space_group_name_H-M_alt 'C 1 2/m 1'
_space_group_IT_number 12
_cell_length_a 8.365
_cell_length_b 14.457
_cell_length_c 8.350
_cell_angle_alpha 90.00
_cell_angle_beta 109.49
_cell_angle_gamma 90.00
loop_
_space_group_symop_operation_xyz
'x,y,z'
'-x,-y,-z'
'-x,y,-z'
'x,-y,z'
'x+1/2,y+1/2,z'
'-x+1/2,-y+1/2,-z'
'-x+1/2,y+1/2,-z'
'x+1/2,-y+1/2,z'
loop_
_atom_site_label
_atom_site_type_symbol
_atom_site_fract_x
_atom_site_fract_y
_atom_site_fract_z
_atom_site_occupancy
Ac1 Ac 0.247 0.000 0.254 1
Ac2 Ac 0.248 0.168 0.748 1
Bi1 Bi 0.000 0.000 0.500 1
Bi2 Bi 0.000 0.167 0.000 1
Bi3 Bi 0.000 0.334 0.500 1
Cl1 Cl 0.000 0.500 0.000 1
# Volume ... 951.91 Å³ per cell
# DFT total energy ... -4.912 eV per atom
# Size of the total moment ... 0.00 μB/cell

Record 5
# AcGaBiCl PBE optimized geometry
data_AcGaBiCl
_chemical_formula_sum 'Ac4 Ga4 Bi4 Cl4'
_space_group_name_H-M_alt 'F -4 3 m'
_space_group_IT_number 216
_space_group_name_Hall 'F -4 2 3'
_cell_length_a 7.869
_cell_length_b 7.869
_cell_length_c 7.869
_cell_angle_alpha 90.00
_cell_angle_beta 90.00
_cell_angle_gamma 90.00
loop_
_atom_site_label
_atom_site_type_symbol
_atom_site_fract_x
_atom_site_fract_y
_atom_site_fract_z
_atom_site_occupancy
Ac1 Ac 0.000 0.000 0.000 1
Ga1 Ga 0.000 0.000 0.500 1
Bi1 Bi 0.250 0.250 0.750 1
Cl1 Cl 0.250 0.250 0.250 1
# Volume ... 487.17 Å³ per cell
# DFT total energy ... -4.045 eV per atom
# Size of the total moment ... 0.00 μB/cell

Record 6
# AcLaBiCl PBE optimized geometry
data_AcLaBiCl
_chemical_formula_sum 'Ac4 La4 Bi4 Cl4'
_space_group_name_H-M_alt 'F -4 3 m'
_space_group_IT_number 216
_space_group_name_Hall 'F -4 2 3'
_cell_length_a 7.927
_cell_length_b 7.927
_cell_length_c 7.927
_cell_angle_alpha 90.00
_cell_angle_beta 90.00
_cell_angle_gamma 90.00
loop_
_atom_site_label
_atom_site_type_symbol
_atom_site_fract_x
_atom_site_fract_y
_atom_site_fract_z
_atom_site_occupancy
Ac1 Ac 0.000 0.000 0.000 1
La1 La 0.000 0.000 0.500 1
Bi1 Bi 0.250 0.250 0.750 1
Cl1 Cl 0.250 0.250 0.250 1
# Volume ... 498.12 Å³ per cell
# DFT total energy ... -4.832 eV per atom
# Size of the total moment ... 1.84 μB/cell

Record 7
# Ac4Bi2N2Cl PBE optimized geometry
data_Ac4Bi2N2Cl
_chemical_formula_sum 'Ac8 Bi4 N4 Cl2'
_space_group_name_H-M_alt 'C 1 2/m 1'
_space_group_IT_number 12
_cell_length_a 16.835
_cell_length_b 4.223
_cell_length_c 8.325
_cell_angle_alpha 90.00
_cell_angle_beta 110.00
_cell_angle_gamma 90.00
loop_
_space_group_symop_operation_xyz
'x,y,z'
'-x,-y,-z'
'-x,y,-z'
'x,-y,z'
'x+1/2,y+1/2,z'
'-x+1/2,-y+1/2,-z'
'-x+1/2,y+1/2,-z'
'x+1/2,-y+1/2,z'
loop_
_atom_site_label
_atom_site_type_symbol
_atom_site_fract_x
_atom_site_fract_y
_atom_site_fract_z
_atom_site_occupancy
Ac1 Ac 0.040 0.000 0.253 1
Ac2 Ac 0.214 0.500 0.655 1
Bi1 Bi 0.132 0.500 0.018 1
N1 N 0.171 0.000 0.476 1
Cl1 Cl 0.000 0.500 0.500 1
# Volume ... 556.13 Å³ per cell
# DFT total energy ... -5.983 eV per atom
# Size of the total moment ... 0.00 μB/cell

Record 8
# NaAcBiCl PBE optimized geometry
data_NaAcBiCl
_chemical_formula_sum 'Na4 Ac4 Bi4 Cl4'
_space_group_name_H-M_alt 'F -4 3 m'
_space_group_IT_number 216
_space_group_name_Hall 'F -4 2 3'
_cell_length_a 7.879
_cell_length_b 7.879
_cell_length_c 7.879
_cell_angle_alpha 90.00
_cell_angle_beta 90.00
_cell_angle_gamma 90.00
loop_
_atom_site_label
_atom_site_type_symbol
_atom_site_fract_x
_atom_site_fract_y
_atom_site_fract_z
_atom_site_occupancy
Na1 Na 0.000 0.000 0.000 1
Ac1 Ac 0.000 0.000 0.500 1
Bi1 Bi 0.250 0.250 0.750 1
Cl1 Cl 0.250 0.250 0.250 1
# Volume ... 489.12 Å³ per cell
# DFT total energy ... -3.933 eV per atom
# Size of the total moment ... 0.00 μB/cell

Record 9
# AcNdBiCl PBE optimized geometry
data_AcNdBiCl
_chemical_formula_sum 'Ac4 Nd4 Bi4 Cl4'
_space_group_name_H-M_alt 'F -4 3 m'
_space_group_IT_number 216
_space_group_name_Hall 'F -4 2 3'
_cell_length_a 7.872
_cell_length_b 7.872
_cell_length_c 7.872
_cell_angle_alpha 90.00
_cell_angle_beta 90.00
_cell_angle_gamma 90.00
loop_
_atom_site_label
_atom_site_type_symbol
_atom_site_fract_x
_atom_site_fract_y
_atom_site_fract_z
_atom_site_occupancy
Ac1 Ac 0.000 0.000 0.000 1
Nd1 Nd 0.000 0.000 0.500 1
Bi1 Bi 0.250 0.250 0.250 1
Cl1 Cl 0.250 0.250 0.750 1
# Volume ... 487.90 Å³ per cell
# DFT total energy ... -4.729 eV per atom
# Size of the total moment ... 1.16 μB/cell

Record 10
# AcBi2ClO4 PBE optimized geometry
data_AcBi2ClO4
_chemical_formula_sum 'Ac1 Bi2 Cl1 O4'
_space_group_name_H-M_alt 'P 4/m m m'
_space_group_IT_number 123
_space_group_name_Hall '-P 4 2'
_cell_length_a 4.035
_cell_length_b 4.035
_cell_length_c 9.388
_cell_angle_alpha 90.00
_cell_angle_beta 90.00
_cell_angle_gamma 90.00
loop_
_atom_site_label
_atom_site_type_symbol
_atom_site_fract_x
_atom_site_fract_y
_atom_site_fract_z
_atom_site_occupancy
Ac1 Ac 0.000 0.000 0.000 1
Bi1 Bi 0.500 0.500 0.285 1
Cl1 Cl 0.000 0.000 0.500 1
O1 O 0.000 0.500 0.171 1
# Volume ... 152.86 Å³ per cell
# DFT total energy ... -6.153 eV per atom
# Size of the total moment ... 0.00 μB/cell

Record 11
# Ac3BiCl2O6 PBE optimized geometry
data_Ac3BiCl2O6
_chemical_formula_sum 'Ac6 Bi2 Cl4 O12'
_space_group_name_H-M_alt 'C 1 2/m 1'
_space_group_IT_number 12
_cell_length_a 12.857
_cell_length_b 7.197
_cell_length_c 5.750
_cell_angle_alpha 90.00
_cell_angle_beta 97.98
_cell_angle_gamma 90.00
loop_
_space_group_symop_operation_xyz
'x,y,z'
'-x,-y,-z'
'-x,y,-z'
'x,-y,z'
'x+1/2,y+1/2,z'
'-x+1/2,-y+1/2,-z'
'-x+1/2,y+1/2,-z'
'x+1/2,-y+1/2,z'
loop_
_atom_site_label
_atom_site_type_symbol
_atom_site_fract_x
_atom_site_fract_y
_atom_site_fract_z
_atom_site_occupancy
Ac1 Ac 0.000 0.000 0.000 1
Ac2 Ac 0.250 0.250 0.500 1
Bi1 Bi 0.000 0.500 0.500 1
Cl1 Cl 0.212 0.000 0.882 1
O1 O 0.062 0.259 0.299 1
O2 O 0.160 0.500 0.669 1
# Volume ... 526.89 Å³ per cell
# DFT total energy ... -6.281 eV per atom
# Size of the total moment ... 0.00 μB/cell

Record 12
# AcPmBiCl PBE optimized geometry
data_AcPmBiCl
_chemical_formula_sum 'Ac4 Pm4 Bi4 Cl4'
_space_group_name_H-M_alt 'F -4 3 m'
_space_group_IT_number 216
_space_group_name_Hall 'F -4 2 3'
_cell_length_a 7.851
_cell_length_b 7.851
_cell_length_c 7.851
_cell_angle_alpha 90.00
_cell_angle_beta 90.00
_cell_angle_gamma 90.00
loop_
_atom_site_label
_atom_site_type_symbol
_atom_site_fract_x
_atom_site_fract_y
_atom_site_fract_z
_atom_site_occupancy
Ac1 Ac 0.000 0.000 0.000 1
Pm1 Pm 0.000 0.000 0.500 1
Bi1 Bi 0.250 0.250 0.250 1
Cl1 Cl 0.250 0.250 0.750 1
# Volume ... 483.83 Å³ per cell
# DFT total energy ... -4.709 eV per atom
# Size of the total moment ... 1.09 μB/cell

Record 13
# AcPrBiCl PBE optimized geometry
data_AcPrBiCl
_chemical_formula_sum 'Ac4 Pr4 Bi4 Cl4'
_space_group_name_H-M_alt 'F -4 3 m'
_space_group_IT_number 216
_space_group_name_Hall 'F -4 2 3'
_cell_length_a 7.896
_cell_length_b 7.896
_cell_length_c 7.896
_cell_angle_alpha 90.00
_cell_angle_beta 90.00
_cell_angle_gamma 90.00
loop_
_atom_site_label
_atom_site_type_symbol
_atom_site_fract_x
_atom_site_fract_y
_atom_site_fract_z
_atom_site_occupancy
Ac1 Ac 0.000 0.000 0.000 1
Pr1 Pr 0.000 0.000 0.500 1
Bi1 Bi 0.250 0.250 0.250 1
Cl1 Cl 0.250 0.250 0.750 1
# Volume ... 492.23 Å³ per cell
# DFT total energy ... -4.748 eV per atom
# Size of the total moment ... 1.25 μB/cell

Record 14
# Ac3BiPtCl PBE optimized geometry
data_Ac3BiPtCl
_chemical_formula_sum 'Ac6 Bi2 Pt2 Cl2'
_space_group_name_H-M_alt 'P 1 21/m 1'
_space_group_IT_number 11
_cell_length_a 9.257
_cell_length_b 4.572
_cell_length_c 10.243
_cell_angle_alpha 90.00
_cell_angle_beta 104.47
_cell_angle_gamma 90.00
loop_
_space_group_symop_operation_xyz
'x,y,z'
'-x,-y,-z'
'-x,y+1/2,-z'
'x,-y+1/2,z'
loop_
_atom_site_label
_atom_site_type_symbol
_atom_site_fract_x
_atom_site_fract_y
_atom_site_fract_z
_atom_site_occupancy
Ac1 Ac 0.060 0.250 0.343 1
Ac2 Ac 0.231 0.250 0.986 1
Ac3 Ac 0.376 0.750 0.626 1
Bi1 Bi 0.326 0.750 0.268 1
Pt1 Pt 0.159 0.250 0.654 1
Cl1 Cl 0.406 0.750 0.915 1
# Volume ... 419.74 Å³ per cell
# DFT total energy ... -5.179 eV per atom
# Size of the total moment ... 0.00 μB/cell

Record 15
# AcPuBiCl PBE optimized geometry
data_AcPuBiCl
_chemical_formula_sum 'Ac4 Pu4 Bi4 Cl4'
_space_group_name_H-M_alt 'F -4 3 m'
_space_group_IT_number 216
_space_group_name_Hall 'F -4 2 3'
_cell_length_a 7.882
_cell_length_b 7.882
_cell_length_c 7.882
_cell_angle_alpha 90.00
_cell_angle_beta 90.00
_cell_angle_gamma 90.00
loop_
_atom_site_label
_atom_site_type_symbol
_atom_site_fract_x
_atom_site_fract_y
_atom_site_fract_z
_atom_site_occupancy
Ac1 Ac 0.000 0.000 0.000 1
Pu1 Pu 0.000 0.000 0.500 1
Bi1 Bi 0.250 0.250 0.250 1
Cl1 Cl 0.250 0.250 0.750 1
# Volume ... 489.72 Å³ per cell
# DFT total energy ... -6.924 eV per atom
# Size of the total moment ... 27.68 μB/cell

Record 16
# Ac3BiRuCl PBE optimized geometry
data_Ac3BiRuCl
_chemical_formula_sum 'Ac6 Bi2 Ru2 Cl2'
_space_group_name_H-M_alt 'P 1 21/m 1'
_space_group_IT_number 11
_cell_length_a 8.399
_cell_length_b 4.617
_cell_length_c 10.852
_cell_angle_alpha 90.00
_cell_angle_beta 103.83
_cell_angle_gamma 90.00
loop_
_space_group_symop_operation_xyz
'x,y,z'
'-x,-y,-z'
'-x,y+1/2,-z'
'x,-y+1/2,z'
loop_
_atom_site_label
_atom_site_type_symbol
_atom_site_fract_x
_atom_site_fract_y
_atom_site_fract_z
_atom_site_occupancy
Ac1 Ac 0.057 0.250 0.372 1
Ac2 Ac 0.211 0.250 0.935 1
Ac3 Ac 0.425 0.750 0.640 1
Bi1 Bi 0.213 0.750 0.182 1
Ru1 Ru 0.209 0.250 0.628 1
Cl1 Cl 0.426 0.750 0.905 1
# Volume ... 408.61 Å³ per cell
# DFT total energy ... -5.343 eV per atom
# Size of the total moment ... 0.00 μB/cell

Record 17
# Ac6Si2BiCl3 PBE optimized geometry
data_Ac6Si2BiCl3
_chemical_formula_sum 'Ac12 Si4 Bi2 Cl6'
_space_group_name_H-M_alt 'C 1 2/m 1'
_space_group_IT_number 12
_cell_length_a 19.538
_cell_length_b 4.610
_cell_length_c 8.995
_cell_angle_alpha 90.00
_cell_angle_beta 99.01
_cell_angle_gamma 90.00
loop_
_space_group_symop_operation_xyz
'x,y,z'
'-x,-y,-z'
'-x,y,-z'
'x,-y,z'
'x+1/2,y+1/2,z'
'-x+1/2,-y+1/2,-z'
'-x+1/2,y+1/2,-z'
'x+1/2,-y+1/2,z'
loop_
_atom_site_label
_atom_site_type_symbol
_atom_site_fract_x
_atom_site_fract_y
_atom_site_fract_z
_atom_site_occupancy
Ac1 Ac 0.011 0.000 0.269 1
Ac2 Ac 0.171 0.500 0.574 1
Ac3 Ac 0.174 0.500 0.112 1
Si1 Si 0.169 0.000 0.337 1
Bi1 Bi 0.000 0.500 0.000 1
Cl1 Cl 0.000 0.500 0.500 1
Cl2 Cl 0.163 0.000 0.835 1
# Volume ... 800.25 Å³ per cell
# DFT total energy ... -4.920 eV per atom
# Size of the total moment ... 0.00 μB/cell

Record 18
# AcTlBiCl PBE optimized geometry
data_AcTlBiCl
_chemical_formula_sum 'Ac4 Tl4 Bi4 Cl4'
_space_group_name_H-M_alt 'F -4 3 m'
_space_group_IT_number 216
_space_group_name_Hall 'F -4 2 3'
_cell_length_a 8.031
_cell_length_b 8.031
_cell_length_c 8.031
_cell_angle_alpha 90.00
_cell_angle_beta 90.00
_cell_angle_gamma 90.00
loop_
_atom_site_label
_atom_site_type_symbol
_atom_site_fract_x
_atom_site_fract_y
_atom_site_fract_z
_atom_site_occupancy
Ac1 Ac 0.000 0.000 0.000 1
Tl1 Tl 0.000 0.000 0.500 1
Bi1 Bi 0.250 0.250 0.250 1
Cl1 Cl 0.250 0.250 0.750 1
# Volume ... 517.98 Å³ per cell
# DFT total energy ... -3.971 eV per atom
# Size of the total moment ... 0.00 μB/cell

Record 19
# Ac5Co2Bi PBE optimized geometry
data_Ac5Co2Bi
_chemical_formula_sum 'Ac20 Co8 Bi4'
_space_group_name_H-M_alt 'I 4/m c m'
_space_group_IT_number 140
_space_group_name_Hall '-I 4 2c'
_cell_length_a 8.403
_cell_length_b 8.403
_cell_length_c 14.625
_cell_angle_alpha 90.00
_cell_angle_beta 90.00
_cell_angle_gamma 90.00
loop_
_atom_site_label
_atom_site_type_symbol
_atom_site_fract_x
_atom_site_fract_y
_atom_site_fract_z
_atom_site_occupancy
Ac1 Ac 0.000 0.000 0.000 1
Ac2 Ac 0.157 0.343 0.131 1
Co1 Co 0.145 0.355 0.500 1
Bi1 Bi 0.000 0.000 0.250 1
# Volume ... 1032.63 Å³ per cell
# DFT total energy ... -5.052 eV per atom
# Calculated formation energy ... -222 meV per atom
# Size of the total moment ... 0.00 μB/cell

Record 20
# Ac2CoBi PBE optimized geometry
data_Ac2CoBi
_chemical_formula_sum 'Ac8 Co4 Bi4'
_space_group_name_H-M_alt 'F m -3 m'
_space_group_IT_number 225
_space_group_name_Hall '-F 4 2 3'
_cell_length_a 7.994
_cell_length_b 7.994
_cell_length_c 7.994
_cell_angle_alpha 90.00
_cell_angle_beta 90.00
_cell_angle_gamma 90.00
loop_
_atom_site_label
_atom_site_type_symbol
_atom_site_fract_x
_atom_site_fract_y
_atom_site_fract_z
_atom_site_occupancy
Ac1 Ac 0.250 0.250 0.250 1
Co1 Co 0.000 0.000 0.000 1
Bi1 Bi 0.000 0.000 0.500 1
# Volume ... 510.94 Å³ per cell
# DFT total energy ... -4.896 eV per atom
# Calculated formation energy ... -95 meV per atom
# Energy above the most stable polymorph in this dataset ... 45 meV per atom
# Size of the total moment ... 3.18 μB/cell